# 1
{"formula": "YAsPt", "functional": "PBEsol", "state": "relaxed", "lattice": [[4.2442, 0.0000, 0.0000], [-2.1221, 3.6756, 0.0000], [0.0000, 0.0000, 15.1062]], "species": ["Y", "Y", "Y", "Y", "As", "As", "As", "As", "Pt", "Pt", "Pt", "Pt"], "fractional_positions": [[0.0000, 0.0000, 0.0000], [0.0000, 0.0000, 0.2500], [0.0000, 0.0000, 0.5000], [0.0000, 0.0000, 0.7500], [0.3333, 0.6667, 0.1162], [0.3333, 0.6667, 0.3838], [0.6667, 0.3333, 0.6162], [0.6667, 0.3333, 0.8838], [0.3333, 0.6667, 0.6357], [0.3333, 0.6667, 0.8643], [0.6667, 0.3333, 0.1357], [0.6667, 0.3333, 0.3643]], "total_energy_ev_per_cell": -90.7, "spacegroup": "P6_3/mmc, No. 194", "dos_at_fermi_per_ev_cell": 1.91}

# 2
{"formula": "CrSb2Pb", "functional": "PBEsol", "state": "relaxed", "lattice": [[3.3328, 0.0000, 0.0000], [0.0000, 3.3328, 0.0000], [0.0000, 0.0000, 8.4018]], "species": ["Cr", "Sb", "Sb", "Pb"], "fractional_positions": [[0.0000, 0.0000, 0.0000], [0.0000, 0.0000, 0.5362], [0.5000, 0.5000, 0.8233], [0.5000, 0.5000, 0.2317]], "e_form_raw_mev_per_atom": 353, "total_energy_ev_per_cell": -21.9, "spacegroup": "P4mm, No. 99", "dos_at_fermi_per_ev_cell": 3.11}

# 3
{"formula": "ZnIn2Ir", "functional": "PBEsol", "state": "relaxed", "lattice": [[0.0000, 3.2634, 3.2634], [3.2634, 0.0000, 3.2634], [3.2634, 3.2634, 0.0000]], "species": ["Zn", "In", "In", "Ir"], "fractional_positions": [[0.0000, 0.0000, 0.0000], [0.2500, 0.2500, 0.2500], [0.7500, 0.7500, 0.7500], [0.5000, 0.5000, 0.5000]], "total_energy_ev_per_cell": -16.9, "spacegroup": "Fm-3m, No. 225", "dos_at_fermi_per_ev_cell": 1.79}

# 4
{"formula": "ZnNiP2", "functional": "PBEsol", "state": "relaxed", "lattice": [[2.5444, 0.0000, 0.0000], [0.0000, 3.4921, 0.0000], [0.0000, 0.0000, 6.6100]], "species": ["Zn", "Ni", "P", "P"], "fractional_positions": [[0.0000, 0.0000, 0.0000], [0.5000, 0.5000, 0.4719], [0.0000, 0.0000, 0.3546], [0.5000, 0.5000, 0.8080]], "total_energy_ev_per_cell": -19.8, "spacegroup": "Pmm2, No. 25", "dos_at_fermi_per_ev_cell": 1.92}

# 5
{"formula": "LiCuNi", "functional": "PBEsol", "state": "relaxed", "lattice": [[2.1544, -3.7094, 0.0000], [2.1544, 3.7094, 0.0000], [-1.5381, 0.0000, 4.0996]], "species": ["Li", "Li", "Cu", "Cu", "Ni", "Ni"], "fractional_positions": [[0.0000, 0.0000, 0.0000], [0.6674, 0.3326, 0.0000], [0.1648, 0.8352, 0.5000], [0.3361, 0.6639, 0.0000], [0.4923, 0.5077, 0.5000], [0.8295, 0.1705, 0.5000]], "relative_energy_kj_per_mol_fu": 0, "total_energy_ev_per_cell": -25.0, "spacegroup": "C2, No. 5", "dos_at_fermi_per_ev_cell": 3.31}

# 6
{"formula": "Tl2NiAsF", "functional": "PBEsol", "state": "relaxed", "lattice": [[5.2589, 0.0000, 0.0000], [0.0000, 5.2589, 0.0000], [0.0000, 0.0000, 3.6257]], "species": ["Tl", "Tl", "Ni", "As", "F"], "fractional_positions": [[0.0000, 0.5000, 0.0000], [0.5000, 0.0000, 0.0000], [0.0000, 0.0000, 0.0000], [0.5000, 0.5000, 0.5000], [0.0000, 0.0000, 0.5000]], "e_form_raw_mev_per_atom": -254, "total_energy_ev_per_cell": -19.7, "spacegroup": "P4/mmm, No. 123", "dos_at_fermi_per_ev_cell": 2.00}

# 7
{"formula": "ZnCu2GeS4", "functional": "PBEsol", "state": "relaxed", "lattice": [[7.3718, 0.0000, 0.0000], [0.0000, 6.4239, 0.0000], [0.0000, 0.0000, 6.1246]], "species": ["Zn", "Zn", "Cu", "Cu", "Cu", "Cu", "Ge", "Ge", "S", "S", "S", "S", "S", "S", "S", "S"], "fractional_positions": [[0.0000, 0.1570, 0.0000], [0.5000, 0.8430, 0.5000], [0.2486, 0.3281, 0.4919], [0.2514, 0.6719, 0.9919], [0.7486, 0.6719, 0.9919], [0.7514, 0.3281, 0.4919], [0.0000, 0.8323, 0.4997], [0.5000, 0.1677, 0.9997], [0.0000, 0.1621, 0.6197], [0.0000, 0.8204, 0.1315], [0.2455, 0.6592, 0.6246], [0.2545, 0.3408, 0.1246], [0.5000, 0.1796, 0.6315], [0.5000, 0.8379, 0.1197], [0.7455, 0.3408, 0.1246], [0.7545, 0.6592, 0.6246]], "e_form_raw_mev_per_atom": -474, "total_energy_ev_per_cell": -73.0, "spacegroup": "Pmn2_1, No. 31"}

# 8
{"formula": "CoOsRh2", "functional": "PBEsol", "state": "relaxed", "lattice": [[4.3486, -1.3220, 0.0000], [4.3486, 1.3220, 0.0000], [-0.8217, 0.0000, 4.4817]], "species": ["Co", "Os", "Rh", "Rh"], "fractional_positions": [[0.0000, 0.0000, 0.0000], [0.7449, 0.7449, 0.2478], [0.2523, 0.2523, 0.7613], [0.4965, 0.4965, 0.4885]], "relative_energy_kj_per_mol_fu": 8, "total_energy_ev_per_cell": -35.9, "spacegroup": "Cm, No. 8", "dos_at_fermi_per_ev_cell": 4.89}

# 9
{"formula": "AgMoAs2", "functional": "PBEsol", "state": "relaxed", "lattice": [[3.5218, 0.0000, 0.0000], [0.0000, 3.5218, 0.0000], [0.0000, 0.0000, 5.3534]], "species": ["Ag", "Mo", "As", "As"], "fractional_positions": [[0.0000, 0.0000, 0.0000], [0.5000, 0.5000, 0.6781], [0.0000, 0.0000, 0.5137], [0.5000, 0.5000, 0.1540]], "relative_energy_kj_per_mol_fu": 0, "total_energy_ev_per_cell": -24.7, "spacegroup": "P4mm, No. 99", "dos_at_fermi_per_ev_cell": 2.81}

# 10
{"formula": "Y3HgN", "functional": "PBEsol", "state": "relaxed", "lattice": [[4.7382, 0.0000, 0.0000], [0.0000, 4.7382, 0.0000], [0.0000, 0.0000, 4.7382]], "species": ["Y", "Y", "Y", "Hg", "N"], "fractional_positions": [[0.0000, 0.0000, 0.5000], [0.0000, 0.5000, 0.0000], [0.5000, 0.0000, 0.0000], [0.5000, 0.5000, 0.5000], [0.0000, 0.0000, 0.0000]], "e_form_raw_mev_per_atom": -1076, "total_energy_ev_per_cell": -34.9, "spacegroup": "Pm-3m, No. 221", "dos_at_fermi_per_ev_cell": 4.30}

# 11
{"formula": "MnGaReC2", "functional": "PBEsol", "state": "relaxed", "lattice": [[3.8093, 0.0000, 0.0000], [0.0000, 3.8093, 0.0000], [0.0000, 0.0000, 4.5328]], "species": ["Mn", "Ga", "Re", "C", "C"], "fractional_positions": [[0.0000, 0.0000, 0.0000], [0.0000, 0.0000, 0.5000], [0.5000, 0.5000, 0.0000], [0.0000, 0.5000, 0.5000], [0.5000, 0.0000, 0.5000]], "total_energy_ev_per_cell": -32.4, "spacegroup": "P4/mmm, No. 123", "dos_at_fermi_per_ev_cell": 4.05}

# 12
{"formula": "BiSb2Pd2", "functional": "PBEsol", "state": "relaxed", "lattice": [[8.2552, 0.0000, 0.0000], [0.0000, 8.2552, 0.0000], [0.0000, 0.0000, 3.1746]], "species": ["Bi", "Bi", "Sb", "Sb", "Sb", "Sb", "Pd", "Pd", "Pd", "Pd"], "fractional_positions": [[0.0000, 0.0000, 0.0000], [0.5000, 0.5000, 0.0000], [0.1564, 0.3436, 0.0000], [0.3436, 0.8436, 0.0000], [0.6564, 0.1564, 0.0000], [0.8436, 0.6564, 0.0000], [0.1253, 0.6253, 0.5000], [0.3747, 0.1253, 0.5000], [0.6253, 0.8747, 0.5000], [0.8747, 0.3747, 0.5000]], "e_form_raw_mev_per_atom": -103, "total_energy_ev_per_cell": -51.7, "spacegroup": "P4/mbm, No. 127", "dos_at_fermi_per_ev_cell": 5.71}